1.
DFT (GGA-PBE) results for KSi2Pt after structural relaxation.

Cell lengths 4.6389, 4.6389, 4.6389 Å; angles 60.00, 60.00, 60.00 degrees
Closest atoms and distances in Å follow each position.
Atoms (fractional coordinates):
K 0.0000 0.0000 0.0000  8 Si 2.84
Si 0.2500 0.2500 0.2500  4 Pt 2.84, 4 K 2.84
Si 0.7500 0.7500 0.7500  4 K 2.84, 4 Pt 2.84
Pt 0.5000 0.5000 0.5000  8 Si 2.84

Values from the calculation:
Volume ... 71 Å³ per cell

***

2.
DFT (GGA-PBE) results for Tb4NdHo after structural relaxation.

Cell lengths 5.0472, 6.1908, 7.1485 Å; angles 106.79, 90.01, 113.98 degrees
Closest atoms and distances in Å follow each position.
Atoms (fractional coordinates):
Tb 0.1659 0.3319 0.3319  7 Tb 3.56-3.59, 2 Ho 3.56-3.57, 3 Nd 3.57-3.59
Tb 0.1678 0.3357 0.8351  7 Tb 3.55-3.59, 3 Ho 3.56-3.58, 2 Nd 3.58
Tb 0.8322 0.6643 0.1649  7 Tb 3.55-3.59, 3 Ho 3.56-3.58, 2 Nd 3.58
Tb 0.8341 0.6681 0.6681  7 Tb 3.56-3.59, 2 Ho 3.56-3.57, 3 Nd 3.57-3.59
Nd 0.5000 0.0000 0.5000  10 Tb 3.57-3.59, 2 Ho 3.57
Ho 0.5000 0.0000 0.0000  10 Tb 3.56-3.58, 2 Nd 3.57

Values from the calculation:
Volume ... 194 Å³ per cell
Formation energy ... 17 meV/atom

***

3.
DFT (GGA-PBE) results for KPd3Pb3 after structural relaxation.

Cell lengths 7.6341, 7.6341, 7.6341 Å; angles 90.00, 90.00, 90.00 degrees
Closest atoms and distances in Å follow each position.
Atoms (fractional coordinates):
K 0.0000 0.0000 0.0000  12 Pb 4.27, 12 Pd 4.27
K 0.5000 0.5000 0.5000  12 Pb 4.27, 12 Pd 4.27
Pd 0.0000 0.2500 0.5000  4 Pb 2.70
Pd 0.0000 0.7500 0.5000  4 Pb 2.70
Pd 0.2500 0.5000 0.0000  4 Pb 2.70
Pd 0.5000 0.0000 0.2500  4 Pb 2.70
Pd 0.5000 0.0000 0.7500  4 Pb 2.70
Pd 0.7500 0.5000 0.0000  4 Pb 2.70
Pb 0.0000 0.5000 0.2500  4 Pd 2.70
Pb 0.0000 0.5000 0.7500  4 Pd 2.70
Pb 0.2500 0.0000 0.5000  4 Pd 2.70
Pb 0.5000 0.2500 0.0000  4 Pd 2.70
Pb 0.5000 0.7500 0.0000  4 Pd 2.70
Pb 0.7500 0.0000 0.5000  4 Pd 2.70

Values from the calculation:
Volume ... 445 Å³ per cell
Formation energy ... -51 meV/atom

***

4.
DFT (GGA-PBE) results for Ca2LaFe after structural relaxation.

Cell lengths 6.5939, 6.5939, 6.5939 Å; angles 148.27, 126.75, 63.33 degrees
Closest atoms and distances in Å follow each position.
Atoms (fractional coordinates):
Ca 0.0000 0.0000 0.0000  2 Fe 2.97
Ca 0.6791 0.1791 0.5000  4 Fe 3.48, 2 La 3.54, 4 Ca 3.57-3.61
La 0.3527 0.3527 0.0000  2 Fe 2.41
Fe 0.2099 0.7099 0.5000  2 La 2.41

Values from the calculation:
Volume ... 120 Å³ per cell
Formation energy ... 264 meV/atom

***

Number 1: DFT total energy -16.5 eV for the cell shown. Number 2: DFT total energy -27.8 eV for the cell shown. Number 3: DFT total energy -56.3 eV for the cell shown. Number 4: DFT total energy -16.3 eV for the cell shown.